Record 1
Computed, not measured: crystalline KTlCd2Ag at its relaxed geometry at the GGA-PBEsol level of DFT.

Cell: 5.2889 5.2889 5.4307 Å, 90.00 90.00 90.00°
Last column: nearest neighbours and their distance in Å.
Space group P4/mmm (No. 123)
Inequivalent atoms, fractional coordinates:
K (0.0000, 0.0000, 0.0000) x1  4 Tl 3.74, 8 Cd 3.79
Tl (0.5000, 0.5000, 0.0000) x1  2 Ag 2.72
Cd (0.0000, 0.5000, 0.5000) x2  2 Ag 2.64
Ag (0.5000, 0.5000, 0.5000) x1  4 Cd 2.64, 2 Tl 2.72

## Properties
Formation enthalpy at 0 K, meV per atom: 105.1
Theoretical density, g/cm³: 6.30


Record 2
Computed, not measured: crystalline La2CdAg at its relaxed geometry at the GGA-PBEsol level of DFT.

Cell: 3.8069 3.8069 7.5682 Å, 90.00 90.00 90.00°
Last column: nearest neighbours and their distance in Å.
Space group P4/mmm (No. 123)
Inequivalent atoms, fractional coordinates:
La (0.0000, 0.0000, 0.2385) x2  4 Ag 3.24, 4 Cd 3.34, 1 La 3.61
Cd (0.5000, 0.5000, 0.5000) x1  8 La 3.34
Ag (0.5000, 0.5000, 0.0000) x1  8 La 3.24

## Properties
Formation enthalpy at 0 K, meV per atom: -268.5
Theoretical density, g/cm³: 7.54


Record 3
Computed, not measured: crystalline La2CdAg at its relaxed geometry at the GGA-PBEsol level of DFT.

Cell: 3.6849 5.1174 5.5909 Å, 90.00 90.00 90.00°
Last column: nearest neighbours and their distance in Å.
Space group Pmm2 (No. 25)
Inequivalent atoms, fractional coordinates:
La (0.0000, 0.0000, 0.0000) x1  4 Cd 3.24-3.45, 4 Ag 3.25, 2 La 3.36
La (0.0000, 0.5000, 0.3890) x1  4 Ag 3.23-3.47, 4 Cd 3.24, 2 La 3.36
Cd (0.5000, 0.0000, 0.5226) x1  2 Ag 3.19, 8 La 3.24-3.45
Ag (0.5000, 0.5000, 0.8626) x1  2 Cd 3.19, 8 La 3.23-3.47

## Properties
Formation enthalpy at 0 K, meV per atom: -271.4
Theoretical density, g/cm³: 7.85


Record 4
Computed, not measured: crystalline La2CdAg at its relaxed geometry at the GGA-PBEsol level of DFT.

Cell: 3.8760 5.0629 10.8241 Å, 90.00 90.00 90.00°
Last column: nearest neighbours and their distance in Å.
Space group Imm2 (No. 44)
Inequivalent atoms, fractional coordinates:
La (0.0000, 0.0000, 0.0000) x2  4 Cd 3.26, 2 Ag 3.30, 2 La 3.39
La (0.0000, 0.5000, 0.2084) x2  4 Ag 3.22, 2 La 3.39, 4 Cd 3.51-3.55
Cd (0.0000, 0.0000, 0.4380) x2  2 Ag 2.83
Ag (0.0000, 0.5000, 0.7472) x2  2 Cd 2.83

## Properties
Formation enthalpy at 0 K, meV per atom: -222.8
Theoretical density, g/cm³: 7.79


Record 5
Computed, not measured: crystalline LiCd2Ag2 at its relaxed geometry at the GGA-PBEsol level of DFT.

Cell: 4.0481 4.0481 13.0584 Å, 90.00 90.00 90.00°
Last column: nearest neighbours and their distance in Å.
Space group I4/mmm (No. 139)
Inequivalent atoms, fractional coordinates:
Li (0.0000, 0.0000, 0.0000) x2  8 Ag 3.15
Cd (0.0000, 0.5000, 0.2500) x4  4 Ag 2.82, 4 Cd 2.86
Ag (0.0000, 0.0000, 0.4000) x4  1 Ag 2.61, 4 Cd 2.82

## Properties
Formation enthalpy at 0 K, meV per atom: 60.5
Theoretical density, g/cm³: 6.94


Record 6
Computed, not measured: crystalline LiCd2Ag2 at its relaxed geometry at the GGA-PBEsol level of DFT.

Cell: 8.0306 8.0306 3.0135 Å, 90.00 90.00 90.00°
Last column: nearest neighbours and their distance in Å.
Space group P4/mbm (No. 127)
Inequivalent atoms, fractional coordinates:
Li (0.0000, 0.0000, 0.0000) x2  2 Li 3.01, 4 Cd 3.13, 8 Ag 3.36
Cd (0.1334, 0.3666, 0.0000) x4  6 Ag 2.74-2.84, 3 Cd 3.01-3.03
Ag (0.1653, 0.6653, 0.5000) x4  6 Cd 2.74-2.84, 2 Ag 3.01

## Properties
Formation enthalpy at 0 K, meV per atom: -88.4
Theoretical density, g/cm³: 7.65


Record 7
Computed, not measured: crystalline Li2CdAg2 at its relaxed geometry at the GGA-PBEsol level of DFT.

Cell: 7.5095 7.5095 2.9422 Å, 90.00 90.00 90.00°
Last column: nearest neighbours and their distance in Å.
Space group P4/mbm (No. 127)
Inequivalent atoms, fractional coordinates:
Li (0.1644, 0.3356, 0.0000) x4  6 Ag 2.61-2.68
Cd (0.0000, 0.0000, 0.5000) x2  4 Ag 2.93, 2 Cd 2.94, 8 Li 3.17
Ag (0.1326, 0.6326, 0.5000) x4  6 Li 2.61-2.68, 1 Ag 2.82

## Properties
Formation enthalpy at 0 K, meV per atom: -155.2
Theoretical density, g/cm³: 6.85


Record 8
Computed, not measured: crystalline LiCd3Ag at its relaxed geometry at the GGA-PBEsol level of DFT.

Cell: 5.1720 5.1720 5.1720 Å, 90.00 90.00 90.00°
Last column: nearest neighbours and their distance in Å.
Space group Pm-3m (No. 221)
Inequivalent atoms, fractional coordinates:
Li (0.0000, 0.0000, 0.0000) x1  12 Cd 3.66
Cd (0.0000, 0.5000, 0.5000) x3  2 Ag 2.59
Ag (0.5000, 0.5000, 0.5000) x1  6 Cd 2.59

## Properties
Formation enthalpy at 0 K, meV per atom: 241.4
Theoretical density, g/cm³: 5.43


Record 9
Computed, not measured: crystalline Li3CdAg at its relaxed geometry at the GGA-PBEsol level of DFT.

Cell: 4.7826 4.7826 4.7826 Å, 90.00 90.00 90.00°
Last column: nearest neighbours and their distance in Å.
Space group Pm-3m (No. 221)
Inequivalent atoms, fractional coordinates:
Li (0.0000, 0.0000, 0.5000) x3  2 Ag 2.39
Cd (0.5000, 0.5000, 0.5000) x1  12 Li 3.38
Ag (0.0000, 0.0000, 0.0000) x1  6 Li 2.39

## Properties
Formation enthalpy at 0 K, meV per atom: 141.7
Theoretical density, g/cm³: 3.66


Record 10
Computed, not measured: crystalline MgCd2TcAg at its relaxed geometry at the GGA-PBEsol level of DFT.

Cell: 5.1101 5.1101 4.9534 Å, 90.00 90.00 90.00°
Last column: nearest neighbours and their distance in Å.
Space group P4/mmm (No. 123)
Inequivalent atoms, fractional coordinates:
Mg (0.0000, 0.0000, 0.0000) x1  2 Tc 2.48
Cd (0.0000, 0.5000, 0.5000) x2  2 Tc 2.56
Tc (0.0000, 0.0000, 0.5000) x1  2 Mg 2.48, 4 Cd 2.56
Ag (0.5000, 0.5000, 0.0000) x1  8 Cd 3.56, 4 Mg 3.61

## Properties
Formation enthalpy at 0 K, meV per atom: 1075.4
Theoretical density, g/cm³: 5.84


Record 11
Computed, not measured: crystalline MnCdAg2 at its relaxed geometry at the GGA-PBEsol level of DFT.

Cell: 2.9093 2.9093 27.6099 Å, 90.00 90.00 120.00°
Last column: nearest neighbours and their distance in Å.
Space group R-3m (No. 166, hexagonal axes)
Inequivalent atoms, fractional coordinates:
Mn (0.0000, 0.0000, 0.0000) x3  6 Ag 2.75, 6 Mn 2.91
Cd (0.0000, 0.0000, 0.5000) x3  6 Cd 2.91, 6 Ag 2.95
Ag (0.0000, 0.0000, 0.2546) x6  3 Mn 2.75, 6 Ag 2.91, 3 Cd 2.95

## Properties
Formation enthalpy at 0 K, meV per atom: 223.5
Theoretical density, g/cm³: 9.43


Record 12
Computed, not measured: crystalline Mn2CdAg at its relaxed geometry at the GGA-PBEsol level of DFT.

Cell: 2.8587 3.9037 5.6856 Å, 90.00 90.00 90.00°
Last column: nearest neighbours and their distance in Å.
Space group Pmmm (No. 47)
Inequivalent atoms, fractional coordinates:
Mn (0.0000, 0.0000, 0.2442) x2  4 Mn 2.78-2.91, 4 Ag 2.79, 4 Cd 2.82
Cd (0.5000, 0.5000, 0.5000) x1  8 Mn 2.82, 2 Ag 2.84, 2 Cd 2.86
Ag (0.5000, 0.5000, 0.0000) x1  8 Mn 2.79, 2 Cd 2.84, 2 Ag 2.86

## Properties
Formation enthalpy at 0 K, meV per atom: 422.8
Theoretical density, g/cm³: 8.64


Record 13
Computed, not measured: crystalline MnCdAg2 at its relaxed geometry at the GGA-PBEsol level of DFT.

Cell: 4.1042 4.1042 7.9517 Å, 90.00 90.00 90.00°
Last column: nearest neighbours and their distance in Å.
Space group I-4m2 (No. 119)
Inequivalent atoms, fractional coordinates:
Mn (0.0000, 0.0000, 0.0000) x2  4 Cd 2.86, 8 Ag 2.86-2.90
Cd (0.0000, 0.5000, 0.2500) x2  4 Mn 2.86, 8 Ag 2.86-2.90
Ag (0.0000, 0.0000, 0.5000) x2  4 Cd 2.86, 4 Ag 2.86, 4 Mn 2.90
Ag (0.0000, 0.5000, 0.7500) x2  4 Mn 2.86, 4 Ag 2.86, 4 Cd 2.90

## Properties
Formation enthalpy at 0 K, meV per atom: 184.5
Theoretical density, g/cm³: 9.50


Record 14
Computed, not measured: crystalline Mn2CdAg at its relaxed geometry at the GGA-PBEsol level of DFT.

Cell: 9.3012 2.8457 4.8855 Å, 90.00 101.66 90.00°
Last column: nearest neighbours and their distance in Å.
Space group Cm (No. 8)
Inequivalent atoms, fractional coordinates:
Mn (0.0000, 0.0000, 0.0000) x2  5 Mn 2.69-2.92, 4 Ag 2.77-2.89, 3 Cd 2.79-2.82
Mn (0.2374, 0.5000, 0.2430) x2  5 Mn 2.69-2.92, 3 Ag 2.78-2.80, 4 Cd 2.80-2.85
Cd (0.2454, 0.0000, 0.7525) x2  7 Mn 2.79-2.85, 3 Ag 2.84-2.87, 2 Cd 2.85
Ag (0.4881, 0.0000, 0.4811) x2  7 Mn 2.77-2.89, 3 Cd 2.84-2.87, 2 Ag 2.85

## Properties
Formation enthalpy at 0 K, meV per atom: 419.0
Theoretical density, g/cm³: 8.66


Record 15
Computed, not measured: crystalline CdAg2Mo at its relaxed geometry at the GGA-PBEsol level of DFT.

Cell: 2.8162 2.8162 29.2394 Å, 90.00 90.00 120.00°
Last column: nearest neighbours and their distance in Å.
Space group R-3m (No. 166, hexagonal axes)
Inequivalent atoms, fractional coordinates:
Cd (0.0000, 0.0000, 0.0000) x3  6 Cd 2.82, 6 Ag 2.98
Ag (0.0000, 0.0000, 0.2478) x6  6 Ag 2.82, 3 Mo 2.88, 3 Cd 2.98
Mo (0.0000, 0.0000, 0.5000) x3  6 Mo 2.82, 6 Ag 2.88

## Properties
Formation enthalpy at 0 K, meV per atom: 272.0
Theoretical density, g/cm³: 10.52


Record 16
Computed, not measured: crystalline CdAg4Mo at its relaxed geometry at the GGA-PBEsol level of DFT.

Cell: 7.5292 7.5292 7.5292 Å, 90.00 90.00 90.00°
Last column: nearest neighbours and their distance in Å.
Space group F-43m (No. 216)
Inequivalent atoms, fractional coordinates:
Cd (0.0000, 0.0000, 0.0000) x4  12 Ag 3.12, 4 Mo 3.26
Ag (0.1249, 0.1249, 0.3751) x16  6 Ag 2.66
Mo (0.2500, 0.2500, 0.7500) x4  12 Ag 3.12, 4 Cd 3.26

## Properties
Formation enthalpy at 0 K, meV per atom: 537.5
Theoretical density, g/cm³: 9.96


Record 17
Computed, not measured: crystalline CdAg2Mo at its relaxed geometry at the GGA-PBEsol level of DFT.

Cell: 4.2163 4.2163 7.6677 Å, 90.00 90.00 90.00°
Last column: nearest neighbours and their distance in Å.
Space group I-4m2 (No. 119)
Inequivalent atoms, fractional coordinates:
Cd (0.0000, 0.0000, 0.0000) x2  4 Mo 2.85, 8 Ag 2.85-2.98
Ag (0.0000, 0.0000, 0.5000) x2  4 Mo 2.85, 4 Ag 2.85, 4 Cd 2.98
Ag (0.0000, 0.5000, 0.7500) x2  4 Cd 2.85, 4 Ag 2.85, 4 Mo 2.98
Mo (0.0000, 0.5000, 0.2500) x2  4 Cd 2.85, 8 Ag 2.85-2.98

## Properties
Formation enthalpy at 0 K, meV per atom: 576.3
Theoretical density, g/cm³: 10.33


Record 18
Computed, not measured: crystalline CdReAgMo2 at its relaxed geometry at the GGA-PBEsol level of DFT.

Cell: 4.6608 4.6608 5.1190 Å, 90.00 90.00 90.00°
Last column: nearest neighbours and their distance in Å.
Space group P4/mmm (No. 123)
Inequivalent atoms, fractional coordinates:
Cd (0.0000, 0.0000, 0.0000) x1  2 Re 2.56
Re (0.0000, 0.0000, 0.5000) x1  4 Mo 2.33, 2 Cd 2.56
Ag (0.5000, 0.5000, 0.0000) x1  4 Cd 3.30, 8 Mo 3.46
Mo (0.0000, 0.5000, 0.5000) x2  2 Re 2.33

## Properties
Formation enthalpy at 0 K, meV per atom: 1670.8
Theoretical density, g/cm³: 8.94


Record 19
Computed, not measured: crystalline CdSiAgMo2 at its relaxed geometry at the GGA-PBEsol level of DFT.

Cell: 4.9591 4.9591 4.7764 Å, 90.00 90.00 90.00°
Last column: nearest neighbours and their distance in Å.
Space group P4/mmm (No. 123)
Inequivalent atoms, fractional coordinates:
Cd (0.0000, 0.0000, 0.0000) x1  2 Ag 2.39, 4 Mo 2.48
Si (0.5000, 0.5000, 0.5000) x1  8 Mo 3.44, 4 Ag 3.51
Ag (0.0000, 0.0000, 0.5000) x1  2 Cd 2.39
Mo (0.0000, 0.5000, 0.0000) x2  2 Cd 2.48

## Properties
Raw formation energy, eV/atom: 2.315
Theoretical density, g/cm³: 6.22


Record 20
Computed, not measured: crystalline CdAgN3 at its relaxed geometry at the GGA-PBEsol level of DFT.

Cell: 4.2046 4.2046 4.2046 Å, 90.00 90.00 90.00°
Last column: nearest neighbours and their distance in Å.
Space group Pm-3m (No. 221)
Inequivalent atoms, fractional coordinates:
Cd (0.0000, 0.0000, 0.0000) x1  6 N 2.10
Ag (0.5000, 0.5000, 0.5000) x1  12 N 2.97
N (0.0000, 0.0000, 0.5000) x3  2 Cd 2.10

## Properties
Raw formation energy, eV/atom: 2.442
Theoretical density, g/cm³: 5.86